1.
BaCrFe2Pb GGA-PBE optimized geometry; total DFT energy (no corrections) = -0.377 Ry/atom; space group = P4/mmm
1.0
-2.613 -3.615 0.586
3.174 -2.837 -3.349
2.542 -1.272 3.487
Fe Ba Pb Cr
2 1 1 1
direct
0.500 0.000 0.000 Fe
0.000 0.000 0.500 Fe
0.000 0.500 0.000 Ba
0.500 0.500 0.500 Pb
0.000 0.000 0.000 Cr



2.
BaCrFe2Pd GGA-PBE optimized geometry; total DFT energy (no corrections) = -0.415 Ry/atom; space group = P4/mmm
1.0
-4.067 0.115 2.726
-2.055 -3.079 -2.935
1.705 -3.712 2.701
Pd Ba Cr Fe
1 1 1 2
direct
0.000 0.000 0.000 Pd
0.500 0.500 0.500 Ba
0.000 0.500 0.000 Cr
0.000 0.000 0.500 Fe
0.500 0.000 0.000 Fe



3.
BaCrFe2Re GGA-PBE optimized geometry; total DFT energy (no corrections) = -0.345 Ry/atom; space group = P4/mmm
1.0
4.551 0.000 0.000
0.000 5.045 0.000
0.000 0.000 4.551
Fe Cr Ba Re
2 1 1 1
direct
0.000 0.000 0.500 Fe
0.500 0.000 0.000 Fe
0.500 0.500 0.500 Cr
0.000 0.000 0.000 Ba
0.000 0.500 0.000 Re